No. 1
A relaxed structure of LiFeSe, computed with PBE.

- energy above the lowest structure with this stoichiometry (meV per atom) = 213
- VASP energy (hartree per atom) = -0.178
- formation energy without anion corrections (kJ per mole of atoms) = -22

```
data_LiFeSe
_cell_length_a 4.0511
_cell_length_b 4.0511
_cell_length_c 3.6251
_cell_angle_alpha 90.00
_cell_angle_beta 90.00
_cell_angle_gamma 120.00
_space_group_name_H-M_alt 'P -6 m 2'
_space_group_IT_number 187
_space_group_name_Hall 'P -6 2'
loop_
_atom_site_label
_atom_site_type_symbol
_atom_site_fract_x
_atom_site_fract_y
_atom_site_fract_z
Li1 Li 0.0000 0.0000 0.0000
Fe1 Fe 0.6667 0.3333 0.5000
Se1 Se 0.3333 0.6667 0.5000
```

***

No. 2
A relaxed structure of CeSmCdPd, computed with PBE.

- formation energy from the elements (meV per atom) = -387
- VASP energy (hartree per atom) = -0.168

```
data_CeSmCdPd
_cell_length_a 7.406
_cell_length_b 7.406
_cell_length_c 7.406
_cell_angle_alpha 90.00
_cell_angle_beta 90.00
_cell_angle_gamma 90.00
_space_group_name_H-M_alt 'F -4 3 m'
_space_group_IT_number 216
_space_group_name_Hall 'F -4 2 3'
loop_
_atom_site_label
_atom_site_type_symbol
_atom_site_fract_x
_atom_site_fract_y
_atom_site_fract_z
Ce1 Ce 0.000 0.000 0.000
Sm1 Sm 0.000 0.000 0.500
Cd1 Cd 0.250 0.250 0.750
Pd1 Pd 0.250 0.250 0.250
```

***

No. 3
A relaxed structure of Ag3Mo5, computed with PBE.

- formation energy from the elements (meV per atom) = 673
- energy above the lowest structure with this stoichiometry (meV per atom) = 28
- VASP energy (hartree per atom) = -0.263

```
data_Ag3Mo5
_cell_length_a 8.1339
_cell_length_b 8.1339
_cell_length_c 4.7993
_cell_angle_alpha 90.00
_cell_angle_beta 90.00
_cell_angle_gamma 120.00
_space_group_name_H-M_alt 'P 63/m c m'
_space_group_IT_number 193
_space_group_name_Hall '-P 6c 2'
loop_
_atom_site_label
_atom_site_type_symbol
_atom_site_fract_x
_atom_site_fract_y
_atom_site_fract_z
Ag1 Ag 0.0000 0.4032 0.2500
Mo1 Mo 0.0000 0.1889 0.7500
Mo2 Mo 0.3333 0.6667 0.0000
```

***

No. 4
A relaxed structure of La6Si2CI3, computed with PBE.

- VASP energy (hartree per atom) = -0.199
- formation energy without anion corrections (kJ per mole of atoms) = -87

```
data_La6Si2CI3
_cell_length_a 7.392
_cell_length_b 12.788
_cell_length_c 8.335
_cell_angle_alpha 90.00
_cell_angle_beta 107.17
_cell_angle_gamma 90.00
_space_group_name_H-M_alt 'C 1 2/m 1'
_space_group_IT_number 12
loop_
_space_group_symop_operation_xyz
'x,y,z'
'-x,-y,-z'
'-x,y,-z'
'x,-y,z'
'x+1/2,y+1/2,z'
'-x+1/2,-y+1/2,-z'
'-x+1/2,y+1/2,-z'
'x+1/2,-y+1/2,z'
loop_
_atom_site_label
_atom_site_type_symbol
_atom_site_fract_x
_atom_site_fract_y
_atom_site_fract_z
La1 La 0.215 0.153 0.188
La2 La 0.242 0.000 0.809
Si1 Si 0.000 0.334 0.000
C1 C 0.000 0.000 0.000
I1 I 0.000 0.174 0.500
I2 I 0.000 0.500 0.500
```

***

No. 5
A relaxed structure of SbIr, computed with PBE.

- VASP energy (hartree per atom) = -0.226
- formation energy without anion corrections (kJ per mole of atoms) = 33

```
data_SbIr
_cell_length_a 3.972
_cell_length_b 3.972
_cell_length_c 9.423
_cell_angle_alpha 90.00
_cell_angle_beta 90.00
_cell_angle_gamma 90.00
_space_group_name_H-M_alt 'I 41/a m d'
_space_group_IT_number 141
loop_
_space_group_symop_operation_xyz
'x,y,z'
'-x,-y,-z'
'-y+1/4,x+3/4,z+1/4'
'y+1/4,-x+3/4,-z+1/4'
'-x+1/2,-y,z+1/2'
'x+1/2,y,-z+1/2'
'y+1/4,-x+1/4,z+3/4'
'-y+1/4,x+1/4,-z+3/4'
'x,-y,-z'
'-x,y,z'
'-y+1/4,-x+1/4,-z+3/4'
'y+1/4,x+1/4,z+3/4'
'-x+1/2,y,-z+1/2'
'x+1/2,-y,z+1/2'
'y+1/4,x+3/4,-z+1/4'
'-y+1/4,-x+3/4,z+1/4'
'x+1/2,y+1/2,z+1/2'
'-x+1/2,-y+1/2,-z+1/2'
'-y+3/4,x+1/4,z+3/4'
'y+3/4,-x+1/4,-z+3/4'
'-x,-y+1/2,z'
'x,y+1/2,-z'
'y+3/4,-x+3/4,z+1/4'
'-y+3/4,x+3/4,-z+1/4'
'x+1/2,-y+1/2,-z+1/2'
'-x+1/2,y+1/2,z+1/2'
'-y+3/4,-x+3/4,-z+1/4'
'y+3/4,x+3/4,z+1/4'
'-x,y+1/2,-z'
'x,-y+1/2,z'
'y+3/4,x+1/4,-z+3/4'
'-y+3/4,-x+1/4,z+3/4'
loop_
_atom_site_label
_atom_site_type_symbol
_atom_site_fract_x
_atom_site_fract_y
_atom_site_fract_z
Sb1 Sb 0.000 0.250 0.375
Ir1 Ir 0.000 0.250 0.875
```

***

No. 6
A relaxed structure of In2SiSn, computed with PBE.

- VASP energy (hartree per atom) = -0.125
- formation energy without anion corrections (kJ per mole of atoms) = 32

```
data_In2SiSn
_cell_length_a 6.529
_cell_length_b 6.529
_cell_length_c 12.011
_cell_angle_alpha 90.00
_cell_angle_beta 90.00
_cell_angle_gamma 90.00
_space_group_name_H-M_alt 'I -4 2 d'
_space_group_IT_number 122
_space_group_name_Hall 'I -4 2bw'
loop_
_atom_site_label
_atom_site_type_symbol
_atom_site_fract_x
_atom_site_fract_y
_atom_site_fract_z
In1 In 0.211 0.250 0.125
Si1 Si 0.000 0.000 0.000
Sn1 Sn 0.000 0.000 0.500
```

***

No. 7
A relaxed structure of TbDyHgGe, computed with PBE.

- formation energy from the elements (meV per atom) = -557
- VASP energy (hartree per atom) = -0.150

```
data_TbDyHgGe
_cell_length_a 7.299
_cell_length_b 7.299
_cell_length_c 7.299
_cell_angle_alpha 90.00
_cell_angle_beta 90.00
_cell_angle_gamma 90.00
_space_group_name_H-M_alt 'F -4 3 m'
_space_group_IT_number 216
_space_group_name_Hall 'F -4 2 3'
loop_
_atom_site_label
_atom_site_type_symbol
_atom_site_fract_x
_atom_site_fract_y
_atom_site_fract_z
Tb1 Tb 0.000 0.000 0.000
Dy1 Dy 0.000 0.000 0.500
Hg1 Hg 0.250 0.250 0.250
Ge1 Ge 0.250 0.250 0.750
```

***

No. 8
A relaxed structure of Mn2CdIn, computed with PBE.

- formation energy from the elements (meV per atom) = 256
- VASP energy (hartree per atom) = -0.193

```
data_Mn2CdIn
_cell_length_a 3.011
_cell_length_b 3.918
_cell_length_c 5.997
_cell_angle_alpha 90.00
_cell_angle_beta 90.28
_cell_angle_gamma 90.00
_space_group_name_H-M_alt 'P 1 2/m 1'
_space_group_IT_number 10
loop_
_space_group_symop_operation_xyz
'x,y,z'
'-x,-y,-z'
'-x,y,-z'
'x,-y,z'
loop_
_atom_site_label
_atom_site_type_symbol
_atom_site_fract_x
_atom_site_fract_y
_atom_site_fract_z
Mn1 Mn 0.000 0.000 0.248
Cd1 Cd 0.500 0.500 0.500
In1 In 0.500 0.500 0.000
```

***

No. 9
A relaxed structure of AcInSb, computed with PBE.

- energy above the lowest structure with this stoichiometry (meV per atom) = 150
- VASP energy (hartree per atom) = -0.152
- formation energy without anion corrections (kJ per mole of atoms) = -47

```
data_AcInSb
_cell_length_a 4.075
_cell_length_b 4.075
_cell_length_c 11.415
_cell_angle_alpha 90.00
_cell_angle_beta 90.00
_cell_angle_gamma 90.00
_space_group_name_H-M_alt 'I 4 m m'
_space_group_IT_number 107
_space_group_name_Hall 'I 4 -2'
loop_
_atom_site_label
_atom_site_type_symbol
_atom_site_fract_x
_atom_site_fract_y
_atom_site_fract_z
Ac1 Ac 0.000 0.000 0.000
In1 In 0.000 0.000 0.694
Sb1 Sb 0.000 0.000 0.315
```

***

No. 10
A relaxed structure of Al2FeMo, computed with PBE.

- formation energy from the elements (meV per atom) = -227
- energy above the lowest structure with this stoichiometry (meV per atom) = 0
- VASP energy (hartree per atom) = -0.254

```
data_Al2FeMo
_cell_length_a 2.851
_cell_length_b 2.851
_cell_length_c 6.629
_cell_angle_alpha 90.00
_cell_angle_beta 90.00
_cell_angle_gamma 90.00
_space_group_name_H-M_alt 'P 4/m m m'
_space_group_IT_number 123
_space_group_name_Hall '-P 4 2'
loop_
_atom_site_label
_atom_site_type_symbol
_atom_site_fract_x
_atom_site_fract_y
_atom_site_fract_z
Al1 Al 0.000 0.000 0.207
Fe1 Fe 0.500 0.500 0.000
Mo1 Mo 0.500 0.500 0.500
```

***

No. 11
A relaxed structure of K2Zn, computed with PBE.

- formation energy from the elements (meV per atom) = 155
- energy above the lowest structure with this stoichiometry (meV per atom) = 72
- VASP energy (hartree per atom) = -0.037

```
data_K2Zn
_cell_length_a 6.1964
_cell_length_b 6.1964
_cell_length_c 8.0504
_cell_angle_alpha 90.00
_cell_angle_beta 90.00
_cell_angle_gamma 120.00
_space_group_name_H-M_alt 'P 63/m m c'
_space_group_IT_number 194
_space_group_name_Hall '-P 6c 2c'
loop_
_atom_site_label
_atom_site_type_symbol
_atom_site_fract_x
_atom_site_fract_y
_atom_site_fract_z
K1 K 0.0000 0.0000 0.0000
K2 K 0.3333 0.6667 0.2500
Zn1 Zn 0.3333 0.6667 0.7500
```

***

No. 12
A relaxed structure of BBr, computed with PBE.

- energy above the lowest structure with this stoichiometry (meV per atom) = 375
- VASP energy (hartree per atom) = -0.152
- formation energy without anion corrections (kJ per mole of atoms) = 5

```
data_BBr
_cell_length_a 14.609
_cell_length_b 4.656
_cell_length_c 6.392
_cell_angle_alpha 90.00
_cell_angle_beta 97.79
_cell_angle_gamma 90.00
_space_group_name_H-M_alt 'C 1 2/m 1'
_space_group_IT_number 12
loop_
_space_group_symop_operation_xyz
'x,y,z'
'-x,-y,-z'
'-x,y,-z'
'x,-y,z'
'x+1/2,y+1/2,z'
'-x+1/2,-y+1/2,-z'
'-x+1/2,y+1/2,-z'
'x+1/2,-y+1/2,z'
loop_
_atom_site_label
_atom_site_type_symbol
_atom_site_fract_x
_atom_site_fract_y
_atom_site_fract_z
B1 B 0.198 0.176 0.456
Br1 Br 0.112 0.500 0.323
Br2 Br 0.146 0.000 0.744
```